[1]
Computed, not measured: an optimized crystal structure of TiBiS2 at the PBE level of DFT.

Unit cell a=6.122 b=6.576 c=6.576 alpha=55.50 beta=101.39 gamma=78.61
Positions (direct):
Bi 0.750 0.818 0.318
Ti 0.750 0.251 0.751
S 0.915 0.792 0.952
S 0.585 0.452 0.292
Bi 0.250 0.182 0.682
S 0.415 0.548 0.708
S 0.085 0.208 0.048
Ti 0.250 0.749 0.249

Density of states at the Fermi level = 1.01 states/eV/f.u.
Space-group type = C2/c (15)
Total moment = 0.00 μB per cell

---

[2]
Computed, not measured: an optimized crystal structure of TiBi2S at the PBE level of DFT.

Unit cell a=6.200 b=6.200 c=8.310 alpha=68.10 beta=68.10 gamma=90.00
Last column: magnetic moment on the atom in μB.
Positions (direct):
Ti 0.000 0.000 0.000  0.80
S 0.250 0.750 0.500  0.11
Bi 0.375 0.369 0.750  -0.01
Ti 0.750 0.250 0.500  0.83
Bi 0.875 0.881 0.750  0.00
Bi 0.119 0.625 0.250  -0.01
S 0.500 0.500 0.000  0.11
Bi 0.631 0.125 0.250  -0.01

Density of states at the Fermi level = 6.94 states/eV/f.u.
Space-group type = I-42d (122)
Total moment = 2.40 μB per cell

---

[3]
Computed, not measured: an optimized crystal structure of TiBiS2 at the PBE level of DFT.

Unit cell a=9.143 b=6.122 c=6.122 alpha=95.27 beta=125.01 gamma=54.99
Positions (direct):
Ti 0.250 0.194 0.694
Bi 0.250 0.827 0.327
S 0.869 0.358 0.433
S 0.631 0.933 0.858
S 0.131 0.642 0.567
Ti 0.750 0.806 0.306
Bi 0.750 0.173 0.673
S 0.369 0.067 0.142

Density of states at the Fermi level = 2.94 states/eV/f.u.
Space-group type = C2/c (15)
Total moment = 0.00 μB per cell

---

[4]
Computed, not measured: an optimized crystal structure of TiBiS2 at the PBE level of DFT.

Unit cell a=7.416 b=7.416 c=7.416 alpha=31.53 beta=31.53 gamma=31.53
Positions (direct):
Bi 0.517 0.517 0.517
S 0.651 0.651 0.651
S 0.096 0.096 0.096
Ti 0.987 0.987 0.987

Density of states at the Fermi level = 3.74 states/eV/f.u.
Space-group type = R3m (160)
Total moment = 0.00 μB per cell

---

[5]
Computed, not measured: an optimized crystal structure of Ti2Bi2S at the PBE level of DFT.

Unit cell a=6.426 b=6.426 c=5.305 alpha=90.00 beta=90.00 gamma=90.00
Positions (direct):
Ti 0.837 0.663 0.000
Ti 0.163 0.337 0.000
S 0.500 0.500 0.000
S 0.000 0.000 0.000
Bi 0.679 0.821 0.500
Ti 0.663 0.163 0.000
Bi 0.321 0.179 0.500
Ti 0.337 0.837 0.000
Bi 0.179 0.679 0.500
Bi 0.821 0.321 0.500

Density of states at the Fermi level = 3.49 states/eV/f.u.
Space-group type = P4/mbm (127)
Total moment = 0.00 μB per cell
E above lowest polymorph = 0.0000 eV/atom

---

[6]
Computed, not measured: an optimized crystal structure of TiBiS2 at the PBE level of DFT.

Unit cell a=7.292 b=7.292 c=6.102 alpha=53.31 beta=53.31 gamma=90.00
Positions (direct):
S 0.667 0.833 0.000
Bi 0.250 0.250 0.500
S 0.833 0.333 0.000
Bi 0.750 0.750 0.500
S 0.333 0.167 0.000
S 0.167 0.667 0.000
Ti 0.750 0.250 0.500
Ti 0.250 0.750 0.500

Density of states at the Fermi level = 3.56 states/eV/f.u.
Space-group type = I4/mcm (140)
Total moment = 0.03 μB per cell

---

[7]
Computed, not measured: an optimized crystal structure of Ti4BiS at the PBE level of DFT.

Unit cell a=5.313 b=6.460 c=7.178 alpha=104.98 beta=111.70 gamma=90.01
Positions (direct):
Bi 0.886 0.750 0.000
S 0.000 0.500 0.500
Ti 0.493 0.945 0.169
Bi 0.114 0.250 0.000
Ti 0.507 0.055 0.831
Ti 0.324 0.554 0.830
Ti 0.081 0.145 0.381
Ti 0.700 0.355 0.619
Ti 0.919 0.855 0.619
Ti 0.676 0.446 0.170
S 0.500 0.000 0.500
Ti 0.300 0.645 0.381

Density of states at the Fermi level = 5.87 states/eV/f.u.
Space-group type = C2/c (15)
Total moment = 0.00 μB per cell

---

[8]
Computed, not measured: an optimized crystal structure of TiBiS2 at the PBE level of DFT.

Unit cell a=6.349 b=6.349 c=6.939 alpha=62.78 beta=62.78 gamma=90.00
Last column: magnetic moment on the atom in μB.
Positions (direct):
Ti 0.500 0.500 0.000  0.74
S 0.375 0.455 0.750  -0.04
Bi 0.750 0.250 0.500  0.11
S 0.875 0.795 0.750  -0.04
Ti 0.250 0.750 0.500  0.75
S 0.205 0.625 0.250  -0.03
S 0.545 0.125 0.250  -0.04
Bi 0.000 0.000 0.000  0.11

Density of states at the Fermi level = 3.08 states/eV/f.u.
Space-group type = I-42d (122)
Total moment = 2.00 μB per cell

---

V readings, ordered: 24.70 33.92 26.87 24.76 21.90 21.69 18.32 26.66 Å³/atom
Energy relative to the elements, uncorrected readings, ordered: -628 451 -733 -517 -308 -564 -447 -439 meV/atom